<P>
The following is a PBE calculation of LiNdPu after structural relaxation, from the Alexandria database.

CIF file:
```
data_LiNdPu
_chemical_formula_sum 'Li1 Nd1 Pu1'
_cell_length_a 7.7022
_cell_length_b 7.7022
_cell_length_c 7.7022
_cell_angle_alpha 154.67
_cell_angle_beta 154.67
_cell_angle_gamma 36.12
_symmetry_space_group_name_H-M 'P 1'
_symmetry_Int_Tables_number 1
loop_
_symmetry_equiv_pos_as_xyz
'x,y,z'
loop_
_atom_site_label
_atom_site_type_symbol
_atom_site_fract_x
_atom_site_fract_y
_atom_site_fract_z
_atom_site_occupancy
Li1 Li 0.0000 0.0000 0.0000 1
Nd1 Nd 0.6667 0.6667 0.0000 1
Pu1 Pu 0.3440 0.3440 0.0000 1
```

D(E_F)   9.54 states/eV/cell
Space-group type   I4mm



<Q>
The following is a PBE calculation of LiNdPu after structural relaxation, from the Alexandria database.

CIF file:
```
data_LiNdPu
_chemical_formula_sum 'Li2 Nd2 Pu2'
_cell_length_a 3.4701
_cell_length_b 3.4701
_cell_length_c 14.0147
_cell_angle_alpha 92.19
_cell_angle_beta 92.19
_cell_angle_gamma 70.61
_symmetry_space_group_name_H-M 'P 1'
_symmetry_Int_Tables_number 1
loop_
_symmetry_equiv_pos_as_xyz
'x,y,z'
loop_
_atom_site_label
_atom_site_type_symbol
_atom_site_fract_x
_atom_site_fract_y
_atom_site_fract_z
_atom_site_occupancy
Li1 Li 0.0000 0.0000 0.0000 1
Li2 Li 0.5534 0.5534 0.8524 1
Nd1 Nd 0.0772 0.0772 0.6574 1
Nd2 Nd 0.4835 0.4835 0.1948 1
Pu1 Pu 0.0909 0.0909 0.3840 1
Pu2 Pu 0.4704 0.4704 0.4683 1
```

D(E_F)   8.88 states/eV/cell
Space-group type   Cm



<Q> is favored, and the nearest alternative lies 15.7 kJ/mol of atoms above it.



<P>
The following is a PBE calculation of LiNd3Rh after structural relaxation, from the Alexandria database.

CIF file:
```
data_LiNd3Rh
_chemical_formula_sum 'Li2 Nd6 Rh2'
_cell_length_a 6.6402
_cell_length_b 4.8559
_cell_length_c 8.5399
_cell_angle_alpha 90.00
_cell_angle_beta 90.17
_cell_angle_gamma 90.00
_symmetry_space_group_name_H-M 'P 1'
_symmetry_Int_Tables_number 1
loop_
_symmetry_equiv_pos_as_xyz
'x,y,z'
loop_
_atom_site_label
_atom_site_type_symbol
_atom_site_fract_x
_atom_site_fract_y
_atom_site_fract_z
_atom_site_occupancy
Li1 Li 0.0991 0.2500 0.2508 1
Li2 Li 0.9009 0.7500 0.7492 1
Nd1 Nd 0.2080 0.2500 0.7491 1
Nd2 Nd 0.3079 0.7500 0.0531 1
Nd3 Nd 0.3085 0.7500 0.4474 1
Nd4 Nd 0.6915 0.2500 0.5526 1
Nd5 Nd 0.6921 0.2500 0.9469 1
Nd6 Nd 0.7920 0.7500 0.2509 1
Rh1 Rh 0.4850 0.7500 0.7514 1
Rh2 Rh 0.5150 0.2500 0.2486 1
```

D(E_F)   10.89 states/eV/cell
Space-group type   P2_1/m



<Q>
The following is a PBE calculation of LiNd3Rh after structural relaxation, from the Alexandria database.

CIF file:
```
data_LiNd3Rh
_chemical_formula_sum 'Li1 Nd3 Rh1'
_cell_length_a 5.5745
_cell_length_b 5.5745
_cell_length_c 5.5745
_cell_angle_alpha 90.00
_cell_angle_beta 90.00
_cell_angle_gamma 90.00
_symmetry_space_group_name_H-M 'P 1'
_symmetry_Int_Tables_number 1
loop_
_symmetry_equiv_pos_as_xyz
'x,y,z'
loop_
_atom_site_label
_atom_site_type_symbol
_atom_site_fract_x
_atom_site_fract_y
_atom_site_fract_z
_atom_site_occupancy
Li1 Li 0.0000 0.0000 0.0000 1
Nd1 Nd 0.0000 0.5000 0.5000 1
Nd2 Nd 0.5000 0.0000 0.5000 1
Nd3 Nd 0.5000 0.5000 0.0000 1
Rh1 Rh 0.5000 0.5000 0.5000 1
```

D(E_F)   4.24 states/eV/cell
Space-group type   Pm-3m



<P> is favored, and the nearest alternative lies 8.7 kJ/mol of atoms above it.



<P>
The following is a PBE calculation of LiNd2Rh2 after structural relaxation, from the Alexandria database.

CIF file:
```
data_LiNd2Rh2
_chemical_formula_sum 'Li1 Nd2 Rh2'
_cell_length_a 5.6021
_cell_length_b 5.6021
_cell_length_c 5.6021
_cell_angle_alpha 136.22
_cell_angle_beta 114.63
_cell_angle_gamma 82.02
_symmetry_space_group_name_H-M 'P 1'
_symmetry_Int_Tables_number 1
loop_
_symmetry_equiv_pos_as_xyz
'x,y,z'
loop_
_atom_site_label
_atom_site_type_symbol
_atom_site_fract_x
_atom_site_fract_y
_atom_site_fract_z
_atom_site_occupancy
Li1 Li 0.0000 0.0000 0.0000 1
Nd1 Nd 0.2970 0.7970 0.5000 1
Nd2 Nd 0.7030 0.2030 0.5000 1
Rh1 Rh 0.2646 0.5000 0.7646 1
Rh2 Rh 0.7354 0.5000 0.2354 1
```

D(E_F)   3.10 states/eV/cell
Space-group type   Immm



<Q>
The following is a PBE calculation of LiNd2Rh2 after structural relaxation, from the Alexandria database.

CIF file:
```
data_LiNd2Rh2
_chemical_formula_sum 'Li2 Nd4 Rh4'
_cell_length_a 5.8397
_cell_length_b 5.8397
_cell_length_c 7.9061
_cell_angle_alpha 104.43
_cell_angle_beta 104.43
_cell_angle_gamma 56.33
_symmetry_space_group_name_H-M 'P 1'
_symmetry_Int_Tables_number 1
loop_
_symmetry_equiv_pos_as_xyz
'x,y,z'
loop_
_atom_site_label
_atom_site_type_symbol
_atom_site_fract_x
_atom_site_fract_y
_atom_site_fract_z
_atom_site_occupancy
Li1 Li 0.1313 0.8687 0.7500 1
Li2 Li 0.8687 0.1313 0.2500 1
Nd1 Nd 0.2033 0.5025 0.3499 1
Nd2 Nd 0.4975 0.7967 0.1501 1
Nd3 Nd 0.5025 0.2033 0.8499 1
Nd4 Nd 0.7967 0.4975 0.6501 1
Rh1 Rh 0.0123 0.7234 0.9896 1
Rh2 Rh 0.2766 0.9877 0.5104 1
Rh3 Rh 0.7234 0.0123 0.4896 1
Rh4 Rh 0.9877 0.2766 0.0104 1
```

D(E_F)   4.79 states/eV/cell
Space-group type   C2/c



<P> is favored, and the nearest alternative lies 2.2 kJ/mol of atoms above it.



<P>
The following is a PBE calculation of LiNdRh after structural relaxation, from the Alexandria database.

CIF file:
```
data_LiNdRh
_chemical_formula_sum 'Li2 Nd2 Rh2'
_cell_length_a 3.7324
_cell_length_b 4.2689
_cell_length_c 9.1006
_cell_angle_alpha 90.00
_cell_angle_beta 101.54
_cell_angle_gamma 90.00
_symmetry_space_group_name_H-M 'P 1'
_symmetry_Int_Tables_number 1
loop_
_symmetry_equiv_pos_as_xyz
'x,y,z'
loop_
_atom_site_label
_atom_site_type_symbol
_atom_site_fract_x
_atom_site_fract_y
_atom_site_fract_z
_atom_site_occupancy
Li1 Li 0.1998 0.2500 0.4055 1
Li2 Li 0.8002 0.7500 0.5945 1
Nd1 Nd 0.4144 0.2500 0.8246 1
Nd2 Nd 0.5856 0.7500 0.1754 1
Rh1 Rh 0.0514 0.2500 0.1059 1
Rh2 Rh 0.9486 0.7500 0.8941 1
```

D(E_F)   2.93 states/eV/cell
Space-group type   P2_1/m



<Q>
The following is a PBE calculation of LiNdRh after structural relaxation, from the Alexandria database.

CIF file:
```
data_LiNdRh
_chemical_formula_sum 'Li1 Nd1 Rh1'
_cell_length_a 5.3561
_cell_length_b 5.3561
_cell_length_c 5.3561
_cell_angle_alpha 140.97
_cell_angle_beta 140.97
_cell_angle_gamma 56.38
_symmetry_space_group_name_H-M 'P 1'
_symmetry_Int_Tables_number 1
loop_
_symmetry_equiv_pos_as_xyz
'x,y,z'
loop_
_atom_site_label
_atom_site_type_symbol
_atom_site_fract_x
_atom_site_fract_y
_atom_site_fract_z
_atom_site_occupancy
Li1 Li 0.0000 0.0000 0.0000 1
Nd1 Nd 0.2940 0.2940 0.0000 1
Rh1 Rh 0.6302 0.6302 0.0000 1
```

D(E_F)   2.40 states/eV/cell
Space-group type   I4mm



<P> is favored, and the nearest alternative lies 10.8 kJ/mol of atoms above it.



<P>
The following is a PBE calculation of Li2NdRh after structural relaxation, from the Alexandria database.

CIF file:
```
data_Li2NdRh
_chemical_formula_sum 'Li2 Nd1 Rh1'
_cell_length_a 10.5227
_cell_length_b 10.5227
_cell_length_c 10.5227
_cell_angle_alpha 16.30
_cell_angle_beta 16.30
_cell_angle_gamma 16.30
_symmetry_space_group_name_H-M 'P 1'
_symmetry_Int_Tables_number 1
loop_
_symmetry_equiv_pos_as_xyz
'x,y,z'
loop_
_atom_site_label
_atom_site_type_symbol
_atom_site_fract_x
_atom_site_fract_y
_atom_site_fract_z
_atom_site_occupancy
Li1 Li 0.1037 0.1037 0.1037 1
Li2 Li 0.8963 0.8963 0.8963 1
Nd1 Nd 0.0000 0.0000 0.0000 1
Rh1 Rh 0.5000 0.5000 0.5000 1
```

D(E_F)   4.55 states/eV/cell
Space-group type   R-3m



<Q>
The following is a PBE calculation of Li2NdRh after structural relaxation, from the Alexandria database.

CIF file:
```
data_Li2NdRh
_chemical_formula_sum 'Li4 Nd2 Rh2'
_cell_length_a 4.0090
_cell_length_b 8.4453
_cell_length_c 5.2681
_cell_angle_alpha 90.00
_cell_angle_beta 112.23
_cell_angle_gamma 90.00
_symmetry_space_group_name_H-M 'P 1'
_symmetry_Int_Tables_number 1
loop_
_symmetry_equiv_pos_as_xyz
'x,y,z'
loop_
_atom_site_label
_atom_site_type_symbol
_atom_site_fract_x
_atom_site_fract_y
_atom_site_fract_z
_atom_site_occupancy
Li1 Li 0.1687 0.0542 0.3366 1
Li2 Li 0.1687 0.4458 0.3366 1
Li3 Li 0.8313 0.5542 0.6634 1
Li4 Li 0.8313 0.9458 0.6634 1
Nd1 Nd 0.4424 0.2500 0.8888 1
Nd2 Nd 0.5576 0.7500 0.1112 1
Rh1 Rh 0.2556 0.7500 0.5129 1
Rh2 Rh 0.7444 0.2500 0.4871 1
```

D(E_F)   4.23 states/eV/cell
Space-group type   P2_1/m



<R>
The following is a PBE calculation of Li2NdRh after structural relaxation, from the Alexandria database.

CIF file:
```
data_Li2NdRh
_chemical_formula_sum 'Li2 Nd1 Rh1'
_cell_length_a 4.0259
_cell_length_b 4.0259
_cell_length_c 5.4688
_cell_angle_alpha 111.47
_cell_angle_beta 111.47
_cell_angle_gamma 89.97
_symmetry_space_group_name_H-M 'P 1'
_symmetry_Int_Tables_number 1
loop_
_symmetry_equiv_pos_as_xyz
'x,y,z'
loop_
_atom_site_label
_atom_site_type_symbol
_atom_site_fract_x
_atom_site_fract_y
_atom_site_fract_z
_atom_site_occupancy
Li1 Li 0.2494 0.7506 0.0000 1
Li2 Li 0.7506 0.2494 0.0000 1
Nd1 Nd 0.5000 0.5000 0.5000 1
Rh1 Rh 0.0000 0.0000 0.5000 1
```

D(E_F)   1.80 states/eV/cell
Space-group type   C2/m



<R> is favored, and the nearest alternative lies 5.0 kJ/mol of atoms above it.



<P>
The following is a PBE calculation of Li3NdSb2 after structural relaxation, from the Alexandria database.

CIF file:
```
data_Li3NdSb2
_chemical_formula_sum 'Li9 Nd3 Sb6'
_cell_length_a 9.0189
_cell_length_b 9.0189
_cell_length_c 10.8216
_cell_angle_alpha 100.39
_cell_angle_beta 100.39
_cell_angle_gamma 28.23
_symmetry_space_group_name_H-M 'P 1'
_symmetry_Int_Tables_number 1
loop_
_symmetry_equiv_pos_as_xyz
'x,y,z'
loop_
_atom_site_label
_atom_site_type_symbol
_atom_site_fract_x
_atom_site_fract_y
_atom_site_fract_z
_atom_site_occupancy
Li1 Li 0.0000 0.0000 0.0000 1
Li2 Li 0.1201 0.1201 0.7271 1
Li3 Li 0.1816 0.1816 0.4877 1
Li4 Li 0.2916 0.2916 0.0961 1
Li5 Li 0.4499 0.4499 0.1611 1
Li6 Li 0.5501 0.5501 0.8389 1
Li7 Li 0.7084 0.7084 0.9039 1
Li8 Li 0.8184 0.8184 0.5123 1
Li9 Li 0.8799 0.8799 0.2729 1
Nd1 Nd 0.3307 0.3307 0.7812 1
Nd2 Nd 0.5000 0.5000 0.5000 1
Nd3 Nd 0.6693 0.6693 0.2188 1
Sb1 Sb 0.0456 0.0456 0.3047 1
Sb2 Sb 0.1439 0.1439 0.9907 1
Sb3 Sb 0.3083 0.3083 0.3551 1
Sb4 Sb 0.6917 0.6917 0.6449 1
Sb5 Sb 0.8561 0.8561 0.0093 1
Sb6 Sb 0.9544 0.9544 0.6953 1
```

D(E_F)   1.67 states/eV/cell
Space-group type   C2/m



<Q>
The following is a PBE calculation of Li3NdSb2 after structural relaxation, from the Alexandria database.

CIF file:
```
data_Li3NdSb2
_chemical_formula_sum 'Li3 Nd1 Sb2'
_cell_length_a 4.6051
_cell_length_b 4.6051
_cell_length_c 7.3264
_cell_angle_alpha 90.00
_cell_angle_beta 90.00
_cell_angle_gamma 120.00
_symmetry_space_group_name_H-M 'P 1'
_symmetry_Int_Tables_number 1
loop_
_symmetry_equiv_pos_as_xyz
'x,y,z'
loop_
_atom_site_label
_atom_site_type_symbol
_atom_site_fract_x
_atom_site_fract_y
_atom_site_fract_z
_atom_site_occupancy
Li1 Li 0.0000 0.0000 0.0000 1
Li2 Li 0.3333 0.6667 0.1474 1
Li3 Li 0.6667 0.3333 0.8526 1
Nd1 Nd 0.0000 0.0000 0.5000 1
Sb1 Sb 0.3333 0.6667 0.7556 1
Sb2 Sb 0.6667 0.3333 0.2444 1
```

D(E_F)   0.49 states/eV/cell
Space-group type   P-3m1



<Q> is favored, and the nearest alternative lies 7.7 kJ/mol of atoms above it.



<P>
The following is a PBE calculation of Li2NdSb after structural relaxation, from the Alexandria database.

CIF file:
```
data_Li2NdSb
_chemical_formula_sum 'Li2 Nd1 Sb1'
_cell_length_a 4.4895
_cell_length_b 4.4895
_cell_length_c 4.9238
_cell_angle_alpha 90.00
_cell_angle_beta 90.00
_cell_angle_gamma 90.00
_symmetry_space_group_name_H-M 'P 1'
_symmetry_Int_Tables_number 1
loop_
_symmetry_equiv_pos_as_xyz
'x,y,z'
loop_
_atom_site_label
_atom_site_type_symbol
_atom_site_fract_x
_atom_site_fract_y
_atom_site_fract_z
_atom_site_occupancy
Li1 Li 0.0000 0.5000 0.0000 1
Li2 Li 0.5000 0.0000 0.0000 1
Nd1 Nd 0.0000 0.0000 0.5000 1
Sb1 Sb 0.5000 0.5000 0.5000 1
```

D(E_F)   1.20 states/eV/cell
Space-group type   P4/mmm



<Q>
The following is a PBE calculation of Li2NdSb after structural relaxation, from the Alexandria database.

CIF file:
```
data_Li2NdSb
_chemical_formula_sum 'Li2 Nd1 Sb1'
_cell_length_a 4.8732
_cell_length_b 4.8732
_cell_length_c 4.8732
_cell_angle_alpha 60.00
_cell_angle_beta 60.00
_cell_angle_gamma 60.00
_symmetry_space_group_name_H-M 'P 1'
_symmetry_Int_Tables_number 1
loop_
_symmetry_equiv_pos_as_xyz
'x,y,z'
loop_
_atom_site_label
_atom_site_type_symbol
_atom_site_fract_x
_atom_site_fract_y
_atom_site_fract_z
_atom_site_occupancy
Li1 Li 0.2500 0.2500 0.2500 1
Li2 Li 0.7500 0.7500 0.7500 1
Nd1 Nd 0.0000 0.0000 0.0000 1
Sb1 Sb 0.5000 0.5000 0.5000 1
```

D(E_F)   3.26 states/eV/cell
Space-group type   Fm-3m



<P> is favored, and the nearest alternative lies 9.3 kJ/mol of atoms above it.



<P>
The following is a PBE calculation of LiNdSb2 after structural relaxation, from the Alexandria database.

CIF file:
```
data_LiNdSb2
_chemical_formula_sum 'Li1 Nd1 Sb2'
_cell_length_a 4.9039
_cell_length_b 4.9039
_cell_length_c 4.3305
_cell_angle_alpha 90.00
_cell_angle_beta 90.00
_cell_angle_gamma 90.00
_symmetry_space_group_name_H-M 'P 1'
_symmetry_Int_Tables_number 1
loop_
_symmetry_equiv_pos_as_xyz
'x,y,z'
loop_
_atom_site_label
_atom_site_type_symbol
_atom_site_fract_x
_atom_site_fract_y
_atom_site_fract_z
_atom_site_occupancy
Li1 Li 0.0000 0.0000 0.0000 1
Nd1 Nd 0.5000 0.5000 0.0000 1
Sb1 Sb 0.0000 0.5000 0.5000 1
Sb2 Sb 0.5000 0.0000 0.5000 1
```

D(E_F)   2.02 states/eV/cell
Space-group type   P4/mmm



<Q>
The following is a PBE calculation of LiNdSb2 after structural relaxation, from the Alexandria database.

CIF file:
```
data_LiNdSb2
_chemical_formula_sum 'Li1 Nd1 Sb2'
_cell_length_a 5.7993
_cell_length_b 5.7993
_cell_length_c 5.7993
_cell_angle_alpha 50.49
_cell_angle_beta 50.49
_cell_angle_gamma 50.49
_symmetry_space_group_name_H-M 'P 1'
_symmetry_Int_Tables_number 1
loop_
_symmetry_equiv_pos_as_xyz
'x,y,z'
loop_
_atom_site_label
_atom_site_type_symbol
_atom_site_fract_x
_atom_site_fract_y
_atom_site_fract_z
_atom_site_occupancy
Li1 Li 0.0000 0.0000 0.0000 1
Nd1 Nd 0.5000 0.5000 0.5000 1
Sb1 Sb 0.2637 0.2637 0.2637 1
Sb2 Sb 0.7363 0.7363 0.7363 1
```

D(E_F)   2.98 states/eV/cell
Space-group type   R-3m



<R>
The following is a PBE calculation of LiNdSb2 after structural relaxation, from the Alexandria database.

CIF file:
```
data_LiNdSb2
_chemical_formula_sum 'Li1 Nd1 Sb2'
_cell_length_a 3.9768
_cell_length_b 3.9768
_cell_length_c 6.5651
_cell_angle_alpha 90.00
_cell_angle_beta 90.00
_cell_angle_gamma 90.00
_symmetry_space_group_name_H-M 'P 1'
_symmetry_Int_Tables_number 1
loop_
_symmetry_equiv_pos_as_xyz
'x,y,z'
loop_
_atom_site_label
_atom_site_type_symbol
_atom_site_fract_x
_atom_site_fract_y
_atom_site_fract_z
_atom_site_occupancy
Li1 Li 0.0000 0.0000 0.0000 1
Nd1 Nd 0.0000 0.0000 0.5000 1
Sb1 Sb 0.5000 0.5000 0.2282 1
Sb2 Sb 0.5000 0.5000 0.7718 1
```

D(E_F)   2.49 states/eV/cell
Space-group type   P4/mmm



<P> is favored, and the nearest alternative lies 5.9 kJ/mol of atoms above it.